[1]
Material: ScAlCuHg
Method: DFT, PBE
State: optimized geometry

Space group   No. 216
Final energy   -3.696 eV/atom

Lattice parameters (Å, degrees): 4.6403 4.6403 4.6403 60.00 60.00 60.00
Element x y z (fractional)
Sc (0.0000, 0.0000, 0.0000)
Al (0.2500, 0.2500, 0.2500)
Cu (0.5000, 0.5000, 0.5000)
Hg (0.7500, 0.7500, 0.7500)

[2]
Material: ScAlCuHg
Method: DFT, PBE
State: optimized geometry

Space group   No. 216
Final energy   -3.787 eV/atom

Lattice parameters (Å, degrees): 4.6285 4.6285 4.6285 60.00 60.00 60.00
Element x y z (fractional)
Sc (0.0000, 0.0000, 0.0000)
Al (0.5000, 0.5000, 0.5000)
Cu (0.7500, 0.7500, 0.7500)
Hg (0.2500, 0.2500, 0.2500)

[3]
Material: TaAlCuHg
Method: DFT, PBE
State: optimized geometry

Space group   No. 216
Final energy   -4.484 eV/atom

Lattice parameters (Å, degrees): 4.5898 4.5898 4.5898 60.00 60.00 60.00
Element x y z (fractional)
Ta (0.0000, 0.0000, 0.0000)
Al (0.2500, 0.2500, 0.2500)
Cu (0.5000, 0.5000, 0.5000)
Hg (0.7500, 0.7500, 0.7500)

Number 1: E above lowest polymorph 0.091 eV/atom. Number 2: E above lowest polymorph 0.000 eV/atom. Number 3: E above lowest polymorph 0.000 eV/atom.